Record 1
Compound: GdThZr
Source: the Alexandria database
Functional: PBE-GGA
Structure: relaxed

extended XYZ file:
```
6
Lattice="3.4091 0.0000 0.0000 0.0000 3.4091 0.0000 0.0000 0.0000 14.9090" Properties=species:S:1:pos:R:3 pbc="T T T"
Gd 0.0000 0.0000 0.0000
Gd 1.7045 1.7045 7.4545
Th 0.0000 0.0000 10.1480
Th 1.7045 1.7045 2.6935
Zr 0.0000 0.0000 5.0475
Zr 1.7045 1.7045 12.5020
```

---

Record 2
Compound: GdThZr
Source: the Alexandria database
Functional: PBE-GGA
Structure: relaxed

extended XYZ file:
```
3
Lattice="3.4587 0.0000 0.0000 -1.7294 2.9953 0.0000 0.0000 0.0000 8.2976" Properties=species:S:1:pos:R:3 pbc="T T T"
Gd 0.0000 0.0000 0.0000
Th 0.0000 1.9969 5.4100
Zr 1.7294 0.9984 2.7678
```

---

Record 3
Compound: GdTh2Zr
Source: the Alexandria database
Functional: PBE-GGA
Structure: relaxed

extended XYZ file:
```
16
Lattice="7.7730 0.0000 0.0000 0.0000 7.7730 0.0000 0.0000 0.0000 7.7730" Properties=species:S:1:pos:R:3 pbc="T T T"
Gd 0.0000 0.0000 0.0000
Gd 0.0000 3.8865 3.8865
Gd 3.8865 0.0000 3.8865
Gd 3.8865 3.8865 0.0000
Th 1.9432 1.9432 1.9432
Th 1.9432 1.9432 5.8297
Th 1.9432 5.8297 1.9432
Th 1.9432 5.8297 5.8297
Th 5.8297 1.9432 1.9432
Th 5.8297 1.9432 5.8297
Th 5.8297 5.8297 1.9432
Th 5.8297 5.8297 5.8297
Zr 0.0000 0.0000 3.8865
Zr 0.0000 3.8865 0.0000
Zr 3.8865 0.0000 0.0000
Zr 3.8865 3.8865 3.8865
```

---

Record 4
Compound: GdTh2Zr
Source: the Alexandria database
Functional: PBE-GGA
Structure: relaxed

extended XYZ file:
```
4
Lattice="3.4948 0.0000 0.0000 0.0000 3.4948 0.0000 0.0000 0.0000 9.7695" Properties=species:S:1:pos:R:3 pbc="T T T"
Gd 0.0000 0.0000 0.0000
Th 1.7474 1.7474 2.5785
Th 1.7474 1.7474 7.1911
Zr 0.0000 0.0000 4.8848
```

---

Record 5
Compound: GdTi
Source: the Alexandria database
Functional: PBE-GGA
Structure: relaxed

extended XYZ file:
```
4
Lattice="3.4189 0.0000 0.0000 0.0000 3.6827 0.0000 -1.7056 0.0000 8.1235" Properties=species:S:1:pos:R:3 pbc="T T T"
Gd 0.0029 0.9207 1.5244
Gd 1.7104 2.7620 6.5990
Ti 0.0018 0.9207 4.6197
Ti 1.7115 2.7620 3.5037
```

---

Record 6
Compound: Gd3Ti
Source: the Alexandria database
Functional: PBE-GGA
Structure: relaxed

extended XYZ file:
```
8
Lattice="3.4819 0.0000 0.0000 0.0000 10.9710 0.0000 0.0000 0.0000 5.9257" Properties=species:S:1:pos:R:3 pbc="T T T"
Gd 0.0000 0.0000 0.0000
Gd 0.0000 2.5286 2.1895
Gd 0.0000 8.4424 2.1895
Gd 1.7410 2.9569 5.1524
Gd 1.7410 5.4855 2.9628
Gd 1.7410 8.0141 5.1524
Ti 0.0000 5.4855 0.1664
Ti 1.7410 0.0000 3.1293
```

---

Record 7
Compound: Gd3Ti
Source: the Alexandria database
Functional: PBE-GGA
Structure: relaxed

extended XYZ file:
```
4
Lattice="3.4617 0.0000 0.0000 0.0000 5.3865 0.0000 0.0000 0.0000 6.0169" Properties=species:S:1:pos:R:3 pbc="T T T"
Gd 0.0000 0.0000 0.0000
Gd 0.0000 2.6932 2.0497
Gd 1.7308 2.6932 4.8724
Ti 1.7308 0.0000 3.0017
```

---

Record 8
Compound: GdTi3
Source: the Alexandria database
Functional: PBE-GGA
Structure: relaxed

extended XYZ file:
```
4
Lattice="3.0486 0.0000 0.0000 0.0000 4.8285 0.0000 0.0000 0.0000 5.5591" Properties=species:S:1:pos:R:3 pbc="T T T"
Gd 0.0000 0.0000 0.0000
Ti 0.0000 2.4142 3.6621
Ti 1.5243 0.0000 2.7596
Ti 1.5243 2.4142 1.2869
```

---

Record 9
Compound: GdTiTl2
Source: the Alexandria database
Functional: PBE-GGA
Structure: relaxed

extended XYZ file:
```
4
Lattice="4.6536 0.0000 0.0000 0.0000 4.6536 0.0000 0.0000 0.0000 4.4860" Properties=species:S:1:pos:R:3 pbc="T T T"
Gd 0.0000 0.0000 0.0000
Ti 2.3268 2.3268 0.0000
Tl 0.0000 2.3268 2.2430
Tl 2.3268 0.0000 2.2430
```

---

Record 10
Compound: GdTiTl2
Source: the Alexandria database
Functional: PBE-GGA
Structure: relaxed

extended XYZ file:
```
4
Lattice="3.3220 0.0000 0.0000 0.0000 3.3220 0.0000 0.0000 0.0000 8.6159" Properties=species:S:1:pos:R:3 pbc="T T T"
Gd 0.0000 0.0000 0.0000
Ti 0.0000 0.0000 4.3079
Tl 1.6610 1.6610 2.3478
Tl 1.6610 1.6610 6.2681
```

---

Record 11
Compound: GdTiTl2
Source: the Alexandria database
Functional: PBE-GGA
Structure: relaxed

extended XYZ file:
```
16
Lattice="7.3231 0.0000 0.0000 0.0000 7.3231 0.0000 0.0000 0.0000 7.3231" Properties=species:S:1:pos:R:3 pbc="T T T"
Gd 0.0000 0.0000 0.0000
Gd 0.0000 3.6615 3.6615
Gd 3.6615 0.0000 3.6615
Gd 3.6615 3.6615 0.0000
Ti 0.0000 0.0000 3.6615
Ti 0.0000 3.6615 0.0000
Ti 3.6615 0.0000 0.0000
Ti 3.6615 3.6615 3.6615
Tl 1.8308 1.8308 1.8308
Tl 1.8308 1.8308 5.4923
Tl 1.8308 5.4923 1.8308
Tl 1.8308 5.4923 5.4923
Tl 5.4923 1.8308 1.8308
Tl 5.4923 1.8308 5.4923
Tl 5.4923 5.4923 1.8308
Tl 5.4923 5.4923 5.4923
```

---

Record 12
Compound: Gd2TmTi
Source: the Alexandria database
Functional: PBE-GGA
Structure: relaxed

extended XYZ file:
```
4
Lattice="4.7818 0.0000 0.0000 0.0000 4.7818 0.0000 0.0000 0.0000 4.7850" Properties=species:S:1:pos:R:3 pbc="T T T"
Gd 0.0000 2.3909 0.0000
Gd 2.3909 0.0000 0.0000
Tm 0.0000 0.0000 2.3925
Ti 2.3909 2.3909 2.3925
```

---

Record 13
Compound: GdTm2Ti
Source: the Alexandria database
Functional: PBE-GGA
Structure: relaxed

extended XYZ file:
```
4
Lattice="3.3571 0.0000 0.0000 0.0000 3.3571 0.0000 0.0000 0.0000 9.5863" Properties=species:S:1:pos:R:3 pbc="T T T"
Gd 0.0000 0.0000 0.0000
Tm 1.6785 1.6785 2.7292
Tm 1.6785 1.6785 6.8570
Ti 0.0000 0.0000 4.7931
```

---

Record 14
Compound: GdTm2Ti
Source: the Alexandria database
Functional: PBE-GGA
Structure: relaxed

extended XYZ file:
```
4
Lattice="4.7467 0.0000 0.0000 0.0000 4.7467 0.0000 0.0000 0.0000 4.7508" Properties=species:S:1:pos:R:3 pbc="T T T"
Gd 0.0000 0.0000 0.0000
Tm 0.0000 2.3733 2.3754
Tm 2.3733 0.0000 2.3754
Ti 2.3733 2.3733 0.0000
```

---

Record 15
Compound: GdTm2Ti
Source: the Alexandria database
Functional: PBE-GGA
Structure: relaxed

extended XYZ file:
```
12
Lattice="3.3274 0.0000 0.0000 -1.6637 2.8816 0.0000 0.0000 0.0000 34.8510" Properties=species:S:1:pos:R:3 pbc="T T T"
Gd 0.0000 0.0000 0.0000
Gd 0.0000 1.9211 23.2340
Gd 1.6637 0.9605 11.6170
Tm 0.0000 0.0000 14.5084
Tm 0.0000 0.0000 20.3425
Tm 0.0000 1.9211 2.8914
Tm 0.0000 1.9211 8.7255
Tm 1.6637 0.9605 26.1254
Tm 1.6637 0.9605 31.9595
Ti 0.0000 0.0000 17.4255
Ti 0.0000 1.9211 5.8085
Ti 1.6637 0.9605 29.0425
```

---

Record 16
Compound: Gd2TmTi
Source: the Alexandria database
Functional: PBE-GGA
Structure: relaxed

extended XYZ file:
```
4
Lattice="3.4075 0.0000 0.0000 0.0000 3.4075 0.0000 0.0000 0.0000 9.4101" Properties=species:S:1:pos:R:3 pbc="T T T"
Gd 0.0000 0.0000 2.1009
Gd 0.0000 0.0000 7.3092
Tm 1.7038 1.7038 4.7050
Ti 1.7038 1.7038 0.0000
```

---

Record 17
Compound: GdTi2W
Source: the Alexandria database
Functional: PBE-GGA
Structure: relaxed

extended XYZ file:
```
4
Lattice="3.2860 0.0000 0.0000 0.0000 3.2860 0.0000 0.0000 0.0000 7.3891" Properties=species:S:1:pos:R:3 pbc="T T T"
Gd 0.0000 0.0000 0.0000
Ti 1.6430 1.6430 2.2727
Ti 1.6430 1.6430 5.1164
W 0.0000 0.0000 3.6946
```

---

Record 18
Compound: Gd2YTi
Source: the Alexandria database
Functional: PBE-GGA
Structure: relaxed

extended XYZ file:
```
12
Lattice="3.3630 0.0000 0.0000 -1.6815 2.9124 0.0000 0.0000 0.0000 35.4106" Properties=species:S:1:pos:R:3 pbc="T T T"
Gd 0.0000 0.0000 2.9379
Gd 0.0000 0.0000 32.4726
Gd 0.0000 1.9416 20.6691
Gd 0.0000 1.9416 26.5450
Gd 1.6815 0.9708 8.8656
Gd 1.6815 0.9708 14.7415
Y 0.0000 0.0000 17.7053
Y 0.0000 1.9416 5.9018
Y 1.6815 0.9708 29.5088
Ti 0.0000 0.0000 0.0000
Ti 0.0000 1.9416 23.6071
Ti 1.6815 0.9708 11.8035
```

---

Record 19
Compound: Gd2YTi
Source: the Alexandria database
Functional: PBE-GGA
Structure: relaxed

extended XYZ file:
```
4
Lattice="3.4227 0.0000 0.0000 0.0000 3.4227 0.0000 0.0000 0.0000 9.5370" Properties=species:S:1:pos:R:3 pbc="T T T"
Gd 0.0000 0.0000 2.0910
Gd 0.0000 0.0000 7.4460
Y 1.7113 1.7113 4.7685
Ti 1.7113 1.7113 0.0000
```

---

Record 20
Compound: GdYTi4
Source: the Alexandria database
Functional: PBE-GGA
Structure: relaxed

extended XYZ file:
```
6
Lattice="0.0000 4.1187 4.1187 4.1187 0.0000 4.1187 4.1187 4.1187 0.0000" Properties=species:S:1:pos:R:3 pbc="T T T"
Gd 0.0000 0.0000 0.0000
Y 2.0594 2.0594 2.0594
Ti 5.1490 3.0885 3.0885
Ti 3.0885 5.1490 3.0885
Ti 3.0885 3.0885 5.1490
Ti 5.1490 5.1490 5.1490
```

---

Values of DFT total energy, in order: -9.913; -9.910; -9.238; -9.278; -10.815; -12.342; -12.323; -9.231; -6.730; -6.751; -6.700; -9.938; -7.584; -7.547; -7.315; -9.960; -10.578; -10.201; -10.456; -8.405, all in eV per atom.
Values of ΔE_f, in order: 0.103; 0.106; 0.129; 0.089; 0.173; 0.192; 0.211; 0.211; -0.053; -0.074; -0.023; 0.194; 0.146; 0.183; 0.414; 0.172; 0.128; 0.429; 0.174; 0.282, all in eV per atom.